Density functional theory data (PBE with a Hubbard U) for a relaxed structure of Na2CoSeO6.

```
data_Na2CoSeO6
_cell_length_a 5.259
_cell_length_b 5.289
_cell_length_c 9.000
_cell_angle_alpha 90.00
_cell_angle_beta 125.30
_cell_angle_gamma 90.00
_symmetry_space_group_name_H-M 'P 1'
_symmetry_Int_Tables_number 1
_symmetry_space_group_name_Hall 'P 1'
loop_
_atom_site_label
_atom_site_type_symbol
_atom_site_fract_x
_atom_site_fract_y
_atom_site_fract_z
Na1 Na 0.248 0.033 0.250
Na2 Na 0.248 0.467 0.750
Na3 Na 0.752 0.533 0.250
Na4 Na 0.752 0.967 0.750
Co1 Co 0.500 0.000 0.000
Co2 Co 0.500 0.500 0.500
Se1 Se 0.000 0.000 0.500
Se2 Se 0.000 0.500 0.000
O1 O 0.151 0.218 0.966
O2 O 0.151 0.282 0.466
O3 O 0.246 0.689 0.966
O4 O 0.246 0.811 0.466
O5 O 0.309 0.014 0.745
O6 O 0.309 0.486 0.245
O7 O 0.691 0.514 0.755
O8 O 0.691 0.986 0.255
O9 O 0.754 0.189 0.534
O10 O 0.754 0.311 0.034
O11 O 0.849 0.718 0.534
O12 O 0.849 0.782 0.034
```

Calculated values
DFT total energy ... -4.958 eV per atom